A relaxed structure of GaCo2Se2. Source: the Alexandria database, functional PBE-GGA.

Cell lengths 6.8498, 6.8498, 6.8498 Å; angles 147.70, 147.70, 46.33 degrees
With the nearest neighbours (Å) after each atom.
Positions (direct):
Ga (0.0000, 0.0000, 0.0000)  8 Se 3.24
Co (0.2500, 0.7500, 0.5000)  4 Se 2.34
Co (0.7500, 0.2500, 0.5000)  4 Se 2.34
Se (0.3572, 0.3572, 0.0000)  4 Co 2.34
Se (0.6428, 0.6428, 0.0000)  4 Co 2.34

Output
Formation energy without anion corrections in eV per atom: -0.129

A relaxed structure of Ga3CoSe. Source: the Alexandria database, functional PBE-GGA.

Cell lengths 4.6076, 4.6076, 4.6076 Å; angles 90.00, 90.00, 90.00 degrees
With the nearest neighbours (Å) after each atom.
Positions (direct):
Ga (0.0000, 0.0000, 0.5000)  2 Co 2.30
Ga (0.0000, 0.5000, 0.0000)  2 Co 2.30
Ga (0.5000, 0.0000, 0.0000)  2 Co 2.30
Co (0.0000, 0.0000, 0.0000)  6 Ga 2.30
Se (0.5000, 0.5000, 0.5000)  12 Ga 3.26

Output
Formation energy without anion corrections in eV per atom: -0.057

A relaxed structure of GaCoSi2Se. Source: the Alexandria database, functional PBE-GGA.

Cell lengths 5.0325, 5.0325, 4.2726 Å; angles 90.00, 90.00, 90.00 degrees
With the nearest neighbours (Å) after each atom.
Positions (direct):
Ga (0.0000, 0.0000, 0.0000)  8 Si 3.30, 4 Co 3.56
Co (0.5000, 0.5000, 0.0000)  2 Se 2.14
Si (0.0000, 0.5000, 0.5000)  2 Se 2.52
Si (0.5000, 0.0000, 0.5000)  2 Se 2.52
Se (0.5000, 0.5000, 0.5000)  2 Co 2.14

Output
Formation energy without anion corrections in eV per atom: 0.957

A relaxed structure of GaCoSn2Se. Source: the Alexandria database, functional PBE-GGA.

Cell lengths 4.9202, 4.9202, 4.5854 Å; angles 90.00, 90.00, 90.00 degrees
With the nearest neighbours (Å) after each atom.
Positions (direct):
Ga (0.0000, 0.0000, 0.0000)  2 Co 2.29
Co (0.0000, 0.0000, 0.5000)  2 Ga 2.29, 4 Sn 2.46
Sn (0.0000, 0.5000, 0.5000)  2 Co 2.46
Sn (0.5000, 0.0000, 0.5000)  2 Co 2.46
Se (0.5000, 0.5000, 0.0000)  8 Sn 3.36, 4 Ga 3.48

Output
Formation energy without anion corrections in eV per atom: -0.188

A relaxed structure of GaCoTeSe2. Source: the Alexandria database, functional PBE-GGA.

Cell lengths 5.5538, 5.5538, 4.6995 Å; angles 90.00, 90.00, 90.00 degrees
With the nearest neighbours (Å) after each atom.
Positions (direct):
Ga (0.0000, 0.0000, 0.0000)  8 Se 3.64, 4 Co 3.93
Co (0.5000, 0.5000, 0.0000)  2 Te 2.35
Te (0.5000, 0.5000, 0.5000)  2 Co 2.35
Se (0.0000, 0.5000, 0.5000)  2 Te 2.78
Se (0.5000, 0.0000, 0.5000)  2 Te 2.78

Output
Formation energy without anion corrections in eV per atom: 0.566

A relaxed structure of Zr2GaCoSe. Source: the Alexandria database, functional PBE-GGA.

Cell lengths 5.0448, 5.0448, 4.2133 Å; angles 90.00, 90.00, 90.00 degrees
With the nearest neighbours (Å) after each atom.
Positions (direct):
Zr (0.0000, 0.5000, 0.0000)  2 Ga 2.52
Zr (0.5000, 0.0000, 0.0000)  2 Ga 2.52
Ga (0.0000, 0.0000, 0.0000)  2 Co 2.11
Co (0.0000, 0.0000, 0.5000)  2 Ga 2.11
Se (0.5000, 0.5000, 0.5000)  8 Zr 3.29, 4 Co 3.57

Output
Formation energy without anion corrections in eV per atom: 0.365

Repeat the fourth record exactly.
A relaxed structure of GaCoSn2Se. Source: the Alexandria database, functional PBE-GGA.

Cell lengths 4.9202, 4.9202, 4.5854 Å; angles 90.00, 90.00, 90.00 degrees
With the nearest neighbours (Å) after each atom.
Positions (direct):
Ga (0.0000, 0.0000, 0.0000)  2 Co 2.29
Co (0.0000, 0.0000, 0.5000)  2 Ga 2.29, 4 Sn 2.46
Sn (0.0000, 0.5000, 0.5000)  2 Co 2.46
Sn (0.5000, 0.0000, 0.5000)  2 Co 2.46
Se (0.5000, 0.5000, 0.0000)  8 Sn 3.36, 4 Ga 3.48

Output
Formation energy without anion corrections in eV per atom: -0.188